*A*
A relaxed Tm4CdPd crystal. Source: Alexandria via LeMat-Bulk, functional PBE-GGA.

Structure (CIF):
```
data_Tm4CdPd
_chemical_formula_sum 'Tm16 Cd4 Pd4'
_space_group_name_H-M_alt 'C 1 2/c 1'
_space_group_IT_number 15
_cell_length_a 8.747
_cell_length_b 12.696
_cell_length_c 5.994
_cell_angle_alpha 90.00
_cell_angle_beta 107.09
_cell_angle_gamma 90.00
loop_
_space_group_symop_operation_xyz
'x,y,z'
'-x,-y,-z'
'-x,y,-z+1/2'
'x,-y,z+1/2'
'x+1/2,y+1/2,z'
'-x+1/2,-y+1/2,-z'
'-x+1/2,y+1/2,-z+1/2'
'x+1/2,-y+1/2,z+1/2'
loop_
_atom_site_label
_atom_site_type_symbol
_atom_site_fract_x
_atom_site_fract_y
_atom_site_fract_z
Tm1 Tm 0.107 0.176 0.048
Tm2 Tm 0.211 0.415 0.388
Cd1 Cd 0.000 0.379 0.750
Pd1 Pd 0.000 0.000 0.250
```

=====

*B*
A relaxed Tm4CdPd crystal. Source: Alexandria via LeMat-Bulk, functional PBE-GGA.

Structure (CIF):
```
data_Tm4CdPd
_chemical_formula_sum 'Tm64 Cd16 Pd16'
_space_group_name_H-M_alt 'F -4 3 m'
_space_group_IT_number 216
_space_group_name_Hall 'F -4 2 3'
_cell_length_a 13.510
_cell_length_b 13.510
_cell_length_c 13.510
_cell_angle_alpha 90.00
_cell_angle_beta 90.00
_cell_angle_gamma 90.00
loop_
_atom_site_label
_atom_site_type_symbol
_atom_site_fract_x
_atom_site_fract_y
_atom_site_fract_z
Tm1 Tm 0.000 0.000 0.184
Tm2 Tm 0.061 0.250 0.250
Tm3 Tm 0.105 0.105 0.605
Cd1 Cd 0.167 0.167 0.833
Pd1 Pd 0.105 0.105 0.395
```

=====

Least stable of them? *A*.

=====

*A*
A relaxed UCdPd6 crystal. Source: Alexandria via LeMat-Bulk, functional PBE-GGA.

Structure (CIF):
```
data_UCdPd6
_chemical_formula_sum 'U1 Cd1 Pd6'
_space_group_name_H-M_alt 'P 4/m m m'
_space_group_IT_number 123
_space_group_name_Hall '-P 4 2'
_cell_length_a 4.100
_cell_length_b 4.100
_cell_length_c 8.068
_cell_angle_alpha 90.00
_cell_angle_beta 90.00
_cell_angle_gamma 90.00
loop_
_atom_site_label
_atom_site_type_symbol
_atom_site_fract_x
_atom_site_fract_y
_atom_site_fract_z
U1 U 0.000 0.000 0.000
Cd1 Cd 0.000 0.000 0.500
Pd1 Pd 0.000 0.500 0.244
Pd2 Pd 0.500 0.500 0.000
Pd3 Pd 0.500 0.500 0.500
```

=====

*B*
A relaxed UCdPd6 crystal. Source: Alexandria via LeMat-Bulk, functional PBE-GGA.

Structure (CIF):
```
data_UCdPd6
_chemical_formula_sum 'U3 Cd3 Pd18'
_space_group_name_H-M_alt 'R -3 m'
_space_group_IT_number 166
_space_group_name_Hall '-R 3 2"'
_cell_length_a 5.4532
_cell_length_b 5.4532
_cell_length_c 20.0796
_cell_angle_alpha 90.00
_cell_angle_beta 90.00
_cell_angle_gamma 120.00
loop_
_atom_site_label
_atom_site_type_symbol
_atom_site_fract_x
_atom_site_fract_y
_atom_site_fract_z
U1 U 0.0000 0.0000 0.0000
Cd1 Cd 0.0000 0.0000 0.5000
Pd1 Pd 0.0070 0.5035 0.4323
```

=====

Least stable of them? *B*.

=====

*A*
A relaxed VCd2Pd8 crystal. Source: Alexandria via LeMat-Bulk, functional PBE-GGA.

Structure (CIF):
```
data_VCd2Pd8
_chemical_formula_sum 'V2 Cd4 Pd16'
_space_group_name_H-M_alt 'C 1 2/m 1'
_space_group_IT_number 12
_cell_length_a 14.838
_cell_length_b 4.545
_cell_length_c 5.864
_cell_angle_alpha 90.00
_cell_angle_beta 113.14
_cell_angle_gamma 90.00
loop_
_space_group_symop_operation_xyz
'x,y,z'
'-x,-y,-z'
'-x,y,-z'
'x,-y,z'
'x+1/2,y+1/2,z'
'-x+1/2,-y+1/2,-z'
'-x+1/2,y+1/2,-z'
'x+1/2,-y+1/2,z'
loop_
_atom_site_label
_atom_site_type_symbol
_atom_site_fract_x
_atom_site_fract_y
_atom_site_fract_z
V1 V 0.000 0.000 0.000
Cd1 Cd 0.191 0.500 0.690
Pd1 Pd 0.000 0.500 0.252
Pd2 Pd 0.133 0.000 0.398
Pd3 Pd 0.133 0.000 0.869
Pd4 Pd 0.176 0.500 0.176
```

=====

*B*
A relaxed VCd2Pd8 crystal. Source: Alexandria via LeMat-Bulk, functional PBE-GGA.

Structure (CIF):
```
data_VCd2Pd8
_chemical_formula_sum 'V2 Cd4 Pd16'
_space_group_name_H-M_alt 'C m m m'
_space_group_IT_number 65
_space_group_name_Hall '-C 2 2'
_cell_length_a 8.136
_cell_length_b 10.830
_cell_length_c 4.233
_cell_angle_alpha 90.00
_cell_angle_beta 90.00
_cell_angle_gamma 90.00
loop_
_atom_site_label
_atom_site_type_symbol
_atom_site_fract_x
_atom_site_fract_y
_atom_site_fract_z
V1 V 0.000 0.000 0.000
Cd1 Cd 0.000 0.373 0.500
Pd1 Pd 0.000 0.228 0.000
Pd2 Pd 0.167 0.127 0.500
Pd3 Pd 0.178 0.500 0.000
```

=====

Least stable of them? *B*.

=====

*A*
A relaxed VCdPd3 crystal. Source: Alexandria via LeMat-Bulk, functional PBE-GGA.

Structure (CIF):
```
data_VCdPd3
_chemical_formula_sum 'V1 Cd1 Pd3'
_space_group_name_H-M_alt 'P m -3 m'
_space_group_IT_number 221
_space_group_name_Hall '-P 4 2 3'
_cell_length_a 4.653
_cell_length_b 4.653
_cell_length_c 4.653
_cell_angle_alpha 90.00
_cell_angle_beta 90.00
_cell_angle_gamma 90.00
loop_
_atom_site_label
_atom_site_type_symbol
_atom_site_fract_x
_atom_site_fract_y
_atom_site_fract_z
V1 V 0.000 0.000 0.000
Cd1 Cd 0.500 0.500 0.500
Pd1 Pd 0.000 0.000 0.500
```

=====

*B*
A relaxed VCdPd3 crystal. Source: Alexandria via LeMat-Bulk, functional PBE-GGA.

Structure (CIF):
```
data_VCdPd3
_chemical_formula_sum 'V1 Cd1 Pd3'
_space_group_name_H-M_alt 'P m -3 m'
_space_group_IT_number 221
_space_group_name_Hall '-P 4 2 3'
_cell_length_a 4.901
_cell_length_b 4.901
_cell_length_c 4.901
_cell_angle_alpha 90.00
_cell_angle_beta 90.00
_cell_angle_gamma 90.00
loop_
_atom_site_label
_atom_site_type_symbol
_atom_site_fract_x
_atom_site_fract_y
_atom_site_fract_z
V1 V 0.000 0.000 0.000
Cd1 Cd 0.500 0.500 0.500
Pd1 Pd 0.000 0.500 0.500
```

=====

Least stable of them? *B*.

=====

*A*
A relaxed VCd3Pd crystal. Source: Alexandria via LeMat-Bulk, functional PBE-GGA.

Structure (CIF):
```
data_VCd3Pd
_chemical_formula_sum 'V1 Cd3 Pd1'
_space_group_name_H-M_alt 'P m -3 m'
_space_group_IT_number 221
_space_group_name_Hall '-P 4 2 3'
_cell_length_a 5.190
_cell_length_b 5.190
_cell_length_c 5.190
_cell_angle_alpha 90.00
_cell_angle_beta 90.00
_cell_angle_gamma 90.00
loop_
_atom_site_label
_atom_site_type_symbol
_atom_site_fract_x
_atom_site_fract_y
_atom_site_fract_z
V1 V 0.000 0.000 0.000
Cd1 Cd 0.000 0.000 0.500
Pd1 Pd 0.500 0.500 0.500
```

=====

*B*
A relaxed VCd3Pd crystal. Source: Alexandria via LeMat-Bulk, functional PBE-GGA.

Structure (CIF):
```
data_VCd3Pd
_chemical_formula_sum 'V1 Cd3 Pd1'
_space_group_name_H-M_alt 'P m -3 m'
_space_group_IT_number 221
_space_group_name_Hall '-P 4 2 3'
_cell_length_a 5.094
_cell_length_b 5.094
_cell_length_c 5.094
_cell_angle_alpha 90.00
_cell_angle_beta 90.00
_cell_angle_gamma 90.00
loop_
_atom_site_label
_atom_site_type_symbol
_atom_site_fract_x
_atom_site_fract_y
_atom_site_fract_z
V1 V 0.000 0.000 0.000
Cd1 Cd 0.000 0.500 0.500
Pd1 Pd 0.500 0.500 0.500
```

=====

Least stable of them? *A*.

=====

*A*
A relaxed VCdPd4 crystal. Source: Alexandria via LeMat-Bulk, functional PBE-GGA.

Structure (CIF):
```
data_VCdPd4
_chemical_formula_sum 'V1 Cd1 Pd4'
_space_group_name_H-M_alt 'P 4/m m m'
_space_group_IT_number 123
_space_group_name_Hall '-P 4 2'
_cell_length_a 3.215
_cell_length_b 3.215
_cell_length_c 9.220
_cell_angle_alpha 90.00
_cell_angle_beta 90.00
_cell_angle_gamma 90.00
loop_
_atom_site_label
_atom_site_type_symbol
_atom_site_fract_x
_atom_site_fract_y
_atom_site_fract_z
V1 V 0.000 0.000 0.000
Cd1 Cd 0.500 0.500 0.500
Pd1 Pd 0.000 0.000 0.321
Pd2 Pd 0.500 0.500 0.146
```

=====

*B*
A relaxed VCdPd4 crystal. Source: Alexandria via LeMat-Bulk, functional PBE-GGA.

Structure (CIF):
```
data_VCdPd4
_chemical_formula_sum 'V2 Cd2 Pd8'
_space_group_name_H-M_alt 'P m m a'
_space_group_IT_number 51
_cell_length_a 5.515
_cell_length_b 7.142
_cell_length_c 5.492
_cell_angle_alpha 90.00
_cell_angle_beta 90.00
_cell_angle_gamma 90.00
loop_
_space_group_symop_operation_xyz
'x,y,z'
'-x,-y,-z'
'-x+1/2,-y,z'
'x+1/2,y,-z'
'x+1/2,-y,-z'
'-x+1/2,y,z'
'-x,y,-z'
'x,-y,z'
loop_
_atom_site_label
_atom_site_type_symbol
_atom_site_fract_x
_atom_site_fract_y
_atom_site_fract_z
V1 V 0.250 0.000 0.197
Cd1 Cd 0.250 0.500 0.685
Pd1 Pd 0.000 0.194 0.500
Pd2 Pd 0.000 0.250 0.000
```

=====

Least stable of them? *B*.

=====

*A*
A relaxed CdPd3W crystal. Source: Alexandria via LeMat-Bulk, functional PBE-GGA.

Structure (CIF):
```
data_CdPd3W
_chemical_formula_sum 'Cd1 Pd3 W1'
_space_group_name_H-M_alt 'P m -3 m'
_space_group_IT_number 221
_space_group_name_Hall '-P 4 2 3'
_cell_length_a 4.842
_cell_length_b 4.842
_cell_length_c 4.842
_cell_angle_alpha 90.00
_cell_angle_beta 90.00
_cell_angle_gamma 90.00
loop_
_atom_site_label
_atom_site_type_symbol
_atom_site_fract_x
_atom_site_fract_y
_atom_site_fract_z
Cd1 Cd 0.000 0.000 0.000
Pd1 Pd 0.000 0.000 0.500
W1 W 0.500 0.500 0.500
```

=====

*B*
A relaxed CdPd3W crystal. Source: Alexandria via LeMat-Bulk, functional PBE-GGA.

Structure (CIF):
```
data_CdPd3W
_chemical_formula_sum 'Cd1 Pd3 W1'
_space_group_name_H-M_alt 'P m -3 m'
_space_group_IT_number 221
_space_group_name_Hall '-P 4 2 3'
_cell_length_a 4.843
_cell_length_b 4.843
_cell_length_c 4.843
_cell_angle_alpha 90.00
_cell_angle_beta 90.00
_cell_angle_gamma 90.00
loop_
_atom_site_label
_atom_site_type_symbol
_atom_site_fract_x
_atom_site_fract_y
_atom_site_fract_z
Cd1 Cd 0.000 0.000 0.000
Pd1 Pd 0.000 0.500 0.500
W1 W 0.500 0.500 0.500
```

=====

Least stable of them? *A*.

=====

*A*
A relaxed Cd2PdW crystal. Source: Alexandria via LeMat-Bulk, functional PBE-GGA.

Structure (CIF):
```
data_Cd2PdW
_chemical_formula_sum 'Cd8 Pd4 W4'
_space_group_name_H-M_alt 'I -4 2 d'
_space_group_IT_number 122
_space_group_name_Hall 'I -4 2bw'
_cell_length_a 7.517
_cell_length_b 7.517
_cell_length_c 5.517
_cell_angle_alpha 90.00
_cell_angle_beta 90.00
_cell_angle_gamma 90.00
loop_
_atom_site_label
_atom_site_type_symbol
_atom_site_fract_x
_atom_site_fract_y
_atom_site_fract_z
Cd1 Cd 0.237 0.250 0.125
Pd1 Pd 0.000 0.000 0.000
W1 W 0.000 0.000 0.500
```

=====

*B*
A relaxed Cd2PdW crystal. Source: Alexandria via LeMat-Bulk, functional PBE-GGA.

Structure (CIF):
```
data_Cd2PdW
_chemical_formula_sum 'Cd8 Pd4 W4'
_space_group_name_H-M_alt 'F m -3 m'
_space_group_IT_number 225
_space_group_name_Hall '-F 4 2 3'
_cell_length_a 6.607
_cell_length_b 6.607
_cell_length_c 6.607
_cell_angle_alpha 90.00
_cell_angle_beta 90.00
_cell_angle_gamma 90.00
loop_
_atom_site_label
_atom_site_type_symbol
_atom_site_fract_x
_atom_site_fract_y
_atom_site_fract_z
Cd1 Cd 0.250 0.250 0.250
Pd1 Pd 0.000 0.000 0.000
W1 W 0.000 0.000 0.500
```

=====

Least stable of them? *A*.

=====

*A*
A relaxed Y2Cd2Pd crystal. Source: Alexandria via LeMat-Bulk, functional PBE-GGA.

Structure (CIF):
```
data_Y2Cd2Pd
_chemical_formula_sum 'Y4 Cd4 Pd2'
_space_group_name_H-M_alt 'P 4/m b m'
_space_group_IT_number 127
_space_group_name_Hall '-P 4 2ab'
_cell_length_a 7.322
_cell_length_b 7.322
_cell_length_c 4.595
_cell_angle_alpha 90.00
_cell_angle_beta 90.00
_cell_angle_gamma 90.00
loop_
_atom_site_label
_atom_site_type_symbol
_atom_site_fract_x
_atom_site_fract_y
_atom_site_fract_z
Y1 Y 0.171 0.329 0.000
Cd1 Cd 0.136 0.636 0.500
Pd1 Pd 0.000 0.000 0.500
```

=====

*B*
A relaxed Y2Cd2Pd crystal. Source: Alexandria via LeMat-Bulk, functional PBE-GGA.

Structure (CIF):
```
data_Y2Cd2Pd
_chemical_formula_sum 'Y4 Cd4 Pd2'
_space_group_name_H-M_alt 'P 4/m b m'
_space_group_IT_number 127
_space_group_name_Hall '-P 4 2ab'
_cell_length_a 7.494
_cell_length_b 7.494
_cell_length_c 4.864
_cell_angle_alpha 90.00
_cell_angle_beta 90.00
_cell_angle_gamma 90.00
loop_
_atom_site_label
_atom_site_type_symbol
_atom_site_fract_x
_atom_site_fract_y
_atom_site_fract_z
Y1 Y 0.166 0.334 0.000
Cd1 Cd 0.141 0.641 0.500
Pd1 Pd 0.000 0.000 0.000
```

=====

Least stable of them? *B*.

=====

*A*
A relaxed YCd2Pd2 crystal. Source: Alexandria via LeMat-Bulk, functional PBE-GGA.

Structure (CIF):
```
data_YCd2Pd2
_chemical_formula_sum 'Y2 Cd4 Pd4'
_space_group_name_H-M_alt 'P 4/m b m'
_space_group_IT_number 127
_space_group_name_Hall '-P 4 2ab'
_cell_length_a 7.343
_cell_length_b 7.343
_cell_length_c 3.819
_cell_angle_alpha 90.00
_cell_angle_beta 90.00
_cell_angle_gamma 90.00
loop_
_atom_site_label
_atom_site_type_symbol
_atom_site_fract_x
_atom_site_fract_y
_atom_site_fract_z
Y1 Y 0.000 0.000 0.000
Cd1 Cd 0.157 0.343 0.500
Pd1 Pd 0.137 0.637 0.000
```

=====

*B*
A relaxed YCd2Pd2 crystal. Source: Alexandria via LeMat-Bulk, functional PBE-GGA.

Structure (CIF):
```
data_YCd2Pd2
_chemical_formula_sum 'Y2 Cd4 Pd4'
_space_group_name_H-M_alt 'P 1 21/m 1'
_space_group_IT_number 11
_cell_length_a 5.445
_cell_length_b 4.684
_cell_length_c 8.842
_cell_angle_alpha 90.00
_cell_angle_beta 107.38
_cell_angle_gamma 90.00
loop_
_space_group_symop_operation_xyz
'x,y,z'
'-x,-y,-z'
'-x,y+1/2,-z'
'x,-y+1/2,z'
loop_
_atom_site_label
_atom_site_type_symbol
_atom_site_fract_x
_atom_site_fract_y
_atom_site_fract_z
Y1 Y 0.070 0.250 0.261
Cd1 Cd 0.343 0.250 0.965
Cd2 Cd 0.409 0.250 0.632
Pd1 Pd 0.141 0.750 0.468
Pd2 Pd 0.175 0.750 0.088
```

=====

*C*
A relaxed YCd2Pd2 crystal. Source: Alexandria via LeMat-Bulk, functional PBE-GGA.

Structure (CIF):
```
data_YCd2Pd2
_chemical_formula_sum 'Y2 Cd4 Pd4'
_space_group_name_H-M_alt 'P 4/m b m'
_space_group_IT_number 127
_space_group_name_Hall '-P 4 2ab'
_cell_length_a 7.954
_cell_length_b 7.954
_cell_length_c 3.174
_cell_angle_alpha 90.00
_cell_angle_beta 90.00
_cell_angle_gamma 90.00
loop_
_atom_site_label
_atom_site_type_symbol
_atom_site_fract_x
_atom_site_fract_y
_atom_site_fract_z
Y1 Y 0.000 0.000 0.000
Cd1 Cd 0.123 0.377 0.000
Pd1 Pd 0.177 0.677 0.500
```

=====

Least stable of them? *C*.

=====

*A*
A relaxed YCd2Pd2 crystal. Source: Alexandria via LeMat-Bulk, functional PBE-GGA.

Structure (CIF):
```
data_YCd2Pd2
_chemical_formula_sum 'Y1 Cd2 Pd2'
_space_group_name_H-M_alt 'P -3 m 1'
_space_group_IT_number 164
_space_group_name_Hall '-P 3 2"'
_cell_length_a 4.7710
_cell_length_b 4.7710
_cell_length_c 5.5517
_cell_angle_alpha 90.00
_cell_angle_beta 90.00
_cell_angle_gamma 120.00
loop_
_atom_site_label
_atom_site_type_symbol
_atom_site_fract_x
_atom_site_fract_y
_atom_site_fract_z
Y1 Y 0.0000 0.0000 0.0000
Cd1 Cd 0.3333 0.6667 0.6388
Pd1 Pd 0.3333 0.6667 0.1453
```

=====

*B*
A relaxed YCd2Pd2 crystal. Source: Alexandria via LeMat-Bulk, functional PBE-GGA.

Structure (CIF):
```
data_YCd2Pd2
_chemical_formula_sum 'Y2 Cd4 Pd4'
_space_group_name_H-M_alt 'I 4/m m m'
_space_group_IT_number 139
_space_group_name_Hall '-I 4 2'
_cell_length_a 4.029
_cell_length_b 4.029
_cell_length_c 13.151
_cell_angle_alpha 90.00
_cell_angle_beta 90.00
_cell_angle_gamma 90.00
loop_
_atom_site_label
_atom_site_type_symbol
_atom_site_fract_x
_atom_site_fract_y
_atom_site_fract_z
Y1 Y 0.000 0.000 0.000
Cd1 Cd 0.000 0.500 0.250
Pd1 Pd 0.000 0.000 0.400
```

=====

Least stable of them? *B*.